Crystalline Pr2SmY5Tm at its relaxed geometry, computed with PBE-GGA.

Structure (POSCAR):
```
Pr2SmY5Tm
1.0
-4.314 4.314 7.968
4.314 -4.314 7.968
4.314 4.314 -7.968
Pr Sm Y Tm
4 2 10 2
Cartesian
5.342 1.028 0.000
1.028 3.286 0.000
3.286 1.028 7.968
-1.028 3.286 7.968
4.314 0.000 3.984
0.000 4.314 3.984
0.000 0.000 0.000
2.500 1.814 -2.240
2.500 -1.814 5.728
2.500 1.814 2.240
2.500 -1.814 10.208
0.000 0.000 7.968
1.814 6.128 -2.240
1.814 2.500 5.728
1.814 6.128 2.240
1.814 2.500 10.208
0.000 0.000 3.984
0.000 0.000 11.952
```

SG	No. 140
E_tot	-97.62	eV for the cell shown
density of states at the Fermi level	1.2465	states/eV/atom



Crystalline Pr3SmY2Tm6 at its relaxed geometry, computed with PBE-GGA.

Structure (POSCAR):
```
Pr3SmY2Tm6
1.0
3.100 -5.367 0.000
3.100 5.367 0.000
-2.060 0.000 11.569
Pr Sm Y Tm
3 1 2 6
Cartesian
0.000 0.000 0.000
3.100 1.791 0.000
3.100 -1.791 0.000
2.070 0.000 5.785
2.070 3.577 5.785
2.070 -3.577 5.785
1.036 1.786 2.924
0.008 0.000 8.647
1.036 -1.786 2.924
3.104 1.786 8.646
4.132 0.000 2.923
3.104 -1.786 8.646
```

SG	No. 12
E_tot	-58.53	eV for the cell shown
density of states at the Fermi level	1.2734	states/eV/atom



Crystalline Pr3Sm2Y6Tm at its relaxed geometry, computed with PBE-GGA.

Structure (POSCAR):
```
Pr3Sm2Y6Tm
1.0
3.131 -5.421 0.000
3.131 5.421 0.000
-2.079 0.000 11.716
Pr Sm Y Tm
3 2 6 1
Cartesian
0.000 0.000 0.000
3.131 1.808 0.000
3.131 -1.808 0.000
2.091 3.617 5.858
2.091 -3.617 5.858
1.049 1.804 2.966
0.008 0.000 8.754
1.049 -1.804 2.966
3.133 1.804 8.750
4.174 0.000 2.961
3.133 -1.804 8.750
2.091 0.000 5.858
```

SG	No. 12
E_tot	-66.85	eV for the cell shown
density of states at the Fermi level	1.3076	states/eV/atom



Crystalline Pr3Sm6Y2Tm at its relaxed geometry, computed with PBE-GGA.

Structure (POSCAR):
```
Pr3Sm6Y2Tm
1.0
3.147 -5.453 0.000
3.147 5.453 0.000
-2.098 0.000 11.838
Pr Sm Y Tm
3 6 2 1
Cartesian
0.000 0.000 0.000
3.147 1.817 0.000
3.147 -1.817 0.000
1.052 1.811 3.019
0.008 0.000 8.823
1.052 -1.811 3.019
3.145 1.811 8.820
4.188 0.000 3.015
3.145 -1.811 8.820
2.098 3.636 5.919
2.098 -3.636 5.919
2.098 0.000 5.919
```

SG	No. 12
E_tot	-59.84	eV for the cell shown
density of states at the Fermi level	1.4289	states/eV/atom



Crystalline PrSm6Y3Tm2 at its relaxed geometry, computed with PBE-GGA.

Structure (POSCAR):
```
PrSm6Y3Tm2
1.0
3.120 -5.401 0.000
3.120 5.401 0.000
-2.073 0.000 11.710
Pr Sm Y Tm
1 6 3 2
Cartesian
0.000 0.000 0.000
1.048 1.807 2.927
0.009 0.000 8.785
1.048 -1.807 2.927
3.118 1.807 8.783
4.157 0.000 2.925
3.118 -1.807 8.783
2.083 3.596 5.855
2.083 0.000 5.855
2.083 -3.596 5.855
3.120 1.800 0.000
3.120 -1.800 0.000
```

SG	No. 12
E_tot	-61.24	eV for the cell shown
density of states at the Fermi level	1.2667	states/eV/atom



Crystalline Pr3SmYTm at its relaxed geometry, computed with PBE-GGA.

Structure (POSCAR):
```
Pr3SmYTm
1.0
2.578 -7.737 0.000
2.578 7.737 0.000
0.000 0.000 10.262
Pr Sm Y Tm
6 2 2 2
Cartesian
2.578 5.184 10.258
2.578 5.184 5.135
2.578 2.561 7.697
2.578 -2.561 2.566
2.578 -5.184 0.004
2.578 -5.184 5.127
2.578 0.000 0.000
2.578 0.000 5.131
2.578 2.544 2.566
2.578 -2.544 7.697
2.578 7.721 7.697
2.578 -7.721 2.566
```

SG	No. 63
E_tot	-59.75	eV for the cell shown
density of states at the Fermi level	1.5149	states/eV/atom



Number 1: calculated formation energy 24.2 kJ per mole of atoms. Number 2: calculated formation energy 2.3 kJ per mole of atoms. Number 3: calculated formation energy 1.5 kJ per mole of atoms. Number 4: calculated formation energy 1.7 kJ per mole of atoms. Number 5: calculated formation energy 1.6 kJ per mole of atoms. Number 6: calculated formation energy 1.9 kJ per mole of atoms.